Crystalline VAuSe2N at its relaxed geometry, computed with PBE-GGA.

a = 5.0659 Å, b = 5.0659 Å, c = 5.1241 Å
α = 90.00°, β = 90.00°, γ = 90.00°
Space group P4/mmm (No. 123)
Inequivalent atoms, fractional coordinates:
V  0.0000  0.0000  0.0000 [1 per cell]
Au  0.0000  0.0000  0.5000 [1 per cell]
Se  0.0000  0.5000  0.5000 [2 per cell]
N  0.5000  0.5000  0.0000 [1 per cell]

Calculated values
Spin magnetization = 3.39 μB per formula unit
Raw total energy = -3.58 eV/atom

=====

Crystalline VAuSe2N at its relaxed geometry, computed with PBE-GGA.

a = 4.9909 Å, b = 4.9909 Å, c = 3.6112 Å
α = 90.00°, β = 90.00°, γ = 90.00°
Space group P4/mmm (No. 123)
Inequivalent atoms, fractional coordinates:
V  0.0000  0.0000  0.0000 [1 per cell]
Au  0.5000  0.5000  0.5000 [1 per cell]
Se  0.0000  0.5000  0.0000 [2 per cell]
N  0.0000  0.0000  0.5000 [1 per cell]

Calculated values
Spin magnetization = 0.00 μB per formula unit
Raw total energy = -5.33 eV/atom

=====

Crystalline V2AuSeN at its relaxed geometry, computed with PBE-GGA.

a = 4.7401 Å, b = 4.7401 Å, c = 3.8346 Å
α = 90.00°, β = 90.00°, γ = 90.00°
Space group P4/mmm (No. 123)
Inequivalent atoms, fractional coordinates:
V  0.0000  0.5000  0.0000 [2 per cell]
Au  0.0000  0.0000  0.5000 [1 per cell]
Se  0.5000  0.5000  0.0000 [1 per cell]
N  0.5000  0.5000  0.5000 [1 per cell]

Calculated values
Spin magnetization = 4.21 μB per formula unit
Raw total energy = -5.61 eV/atom

=====

Crystalline ZrAuSeN2 at its relaxed geometry, computed with PBE-GGA.

a = 4.0735 Å, b = 4.0735 Å, c = 5.9620 Å
α = 90.00°, β = 90.00°, γ = 90.00°
Space group P4/mmm (No. 123)
Inequivalent atoms, fractional coordinates:
Zr  0.0000  0.0000  0.0000 [1 per cell]
Au  0.5000  0.5000  0.5000 [1 per cell]
Se  0.0000  0.0000  0.5000 [1 per cell]
N  0.0000  0.5000  0.0000 [2 per cell]

Calculated values
Spin magnetization = 0.09 μB per formula unit
Raw total energy = -5.86 eV/atom

=====

Crystalline ZrAuSe2N at its relaxed geometry, computed with PBE-GGA.

a = 5.3380 Å, b = 5.3380 Å, c = 4.0395 Å
α = 90.00°, β = 90.00°, γ = 90.00°
Space group P4/mmm (No. 123)
Inequivalent atoms, fractional coordinates:
Zr  0.0000  0.0000  0.0000 [1 per cell]
Au  0.5000  0.5000  0.5000 [1 per cell]
Se  0.0000  0.5000  0.0000 [2 per cell]
N  0.0000  0.0000  0.5000 [1 per cell]

Calculated values
Spin magnetization = 0.00 μB per formula unit
Raw total energy = -5.21 eV/atom

=====

Crystalline ZrAuSeN2 at its relaxed geometry, computed with PBE-GGA.

a = 4.0949 Å, b = 4.0949 Å, c = 4.9449 Å
α = 90.00°, β = 90.00°, γ = 90.00°
Space group P4/mmm (No. 123)
Inequivalent atoms, fractional coordinates:
Zr  0.0000  0.0000  0.0000 [1 per cell]
Au  0.5000  0.5000  0.5000 [1 per cell]
Se  0.5000  0.5000  0.0000 [1 per cell]
N  0.0000  0.5000  0.5000 [2 per cell]

Calculated values
Spin magnetization = 0.00 μB per formula unit
Raw total energy = -5.15 eV/atom

=====

Question: Which of these has the highest raw total energy?
Answer: number 1